# 1
Entry from the Alexandria database: a relaxed CrAsH2 crystal (PBE-GGA).

excess energy over the best structure of this formula in the dataset = 0.00 eV/f.u.

Cell lengths 3.842, 3.842, 11.052 Å; angles 90.00, 90.00, 90.00 degrees
Space group I-42d (No. 122)
Unique sites:
Cr 0.000 0.000 0.000 [4 per cell]
As 0.000 0.000 0.500 [4 per cell]
H 0.062 0.250 0.125 [8 per cell]

# 2
Entry from the Alexandria database: a relaxed Cs2In4GaSn3 crystal (PBE-GGA).

energy of formation from the pure elements = -0.15 eV/atom

Cell lengths 5.217, 5.217, 12.178 Å; angles 90.00, 90.00, 90.00 degrees
Space group P-4m2 (No. 115)
Unique sites:
Cs 0.000 0.500 0.249 [2 per cell]
In 0.000 0.000 0.500 [1 per cell]
In 0.000 0.500 0.876 [2 per cell]
In 0.500 0.500 0.500 [1 per cell]
Ga 0.500 0.500 0.000 [1 per cell]
Sn 0.000 0.000 0.000 [1 per cell]
Sn 0.000 0.500 0.630 [2 per cell]